Density functional theory data (GGA-PBEsol) for an optimized crystal structure of LiZnHg.

Properties
* E_form: -0.229 eV per atom
* calculated total energy: -4.80 eV per formula unit
* ΔE to the lowest computed polymorph: 0.6 kJ per mole of atoms
* theoretical density: 8.64 g cm⁻³
* total moment: 0.00 μB/f.u.

```
LiZnHg
1.0
-1.200 1.769 1.972
2.667 -1.799 3.236
1.428 3.622 -2.380
Hg Zn Li
1 1 1
Cartesian
-0.600 0.884 0.986
1.654 0.892 2.350
1.841 1.815 -0.508
```